(1)
Crystalline TbHfCoPt at its relaxed geometry, computed with PBE.

Summary:
N(E_F): 11.47 states/eV per cell
SG: No. 216
E: -7.514 eV/atom
Crystal system: cubic
DFT formation energy: -0.5812 eV per atom

Structure (extended XYZ):
```
16
Lattice="6.693 0.000 0.000 0.000 6.693 0.000 0.000 0.000 6.693" Properties=species:S:1:pos:R:3 pbc="T T T"
Tb 0.000 0.000 0.000
Tb 0.000 3.346 3.346
Tb 3.346 0.000 3.346
Tb 3.346 3.346 0.000
Hf 0.000 0.000 3.346
Hf 0.000 3.346 0.000
Hf 3.346 0.000 0.000
Hf 3.346 3.346 3.346
Co 1.673 1.673 5.020
Co 1.673 5.020 1.673
Co 5.020 1.673 1.673
Co 5.020 5.020 5.020
Pt 1.673 1.673 1.673
Pt 1.673 5.020 5.020
Pt 5.020 1.673 5.020
Pt 5.020 5.020 1.673
```

=====

(2)
Crystalline Nd7Dy12Th at its relaxed geometry, computed with PBE.

Summary:
N(E_F): 40.19 states/eV per cell
SG: No. 148
E: -4.567 eV/atom
Polymorph energy (0 for the lowest one): 0.00 kcal/mol of atoms
Crystal system: trigonal
DFT formation energy: 0.2344 eV per atom

Structure (extended XYZ):
```
20
Lattice="6.168 3.561 5.132 -6.168 3.561 5.132 0.000 -7.122 5.132" Properties=species:S:1:pos:R:3 pbc="T T T"
Nd 0.000 0.000 0.000
Nd -1.344 -1.597 4.672
Nd -0.711 1.963 4.672
Nd 2.056 -0.365 4.672
Nd -2.056 0.365 10.725
Nd 0.711 -1.963 10.725
Nd 1.344 1.597 10.725
Dy -3.989 1.495 3.941
Dy 0.700 -4.202 3.941
Dy -2.573 -2.366 8.226
Dy -3.336 1.046 7.170
Dy -3.289 -2.707 11.456
Dy 0.762 -3.412 7.170
Dy -0.762 3.412 8.226
Dy 3.289 2.707 3.941
Dy 3.336 -1.046 8.226
Dy 2.573 2.366 7.170
Dy -0.700 4.202 11.456
Dy 3.989 -1.495 11.456
Th 0.000 0.000 7.698
```

=====

(3)
Crystalline ThPbI2 at its relaxed geometry, computed with PBE.

Summary:
N(E_F): 4.51 states/eV per cell
E_form (uncorrected): -0.61 eV per atom
SG: No. 166
E: -4.171 eV/atom
Crystal system: trigonal

Structure (extended XYZ):
```
12
Lattice="3.828 0.000 0.000 -1.914 3.315 0.000 0.000 0.000 34.401" Properties=species:S:1:pos:R:3 pbc="T T T"
Th 0.000 0.000 0.000
Th 0.000 2.210 22.934
Th 1.914 1.105 11.467
Pb 0.000 0.000 17.201
Pb 0.000 2.210 5.734
Pb 1.914 1.105 28.668
I 0.000 0.000 13.808
I 0.000 0.000 20.594
I 0.000 2.210 2.340
I 0.000 2.210 9.127
I 1.914 1.105 25.275
I 1.914 1.105 32.061
```

=====

(4)
Crystalline AgOsCl2 at its relaxed geometry, computed with PBE.

Summary:
N(E_F): 1.58 states/eV per cell
E_form (uncorrected): 0.48 eV per atom
SG: No. 166
E: -3.959 eV/atom
Polymorph energy (0 for the lowest one): 5.41 kcal/mol of atoms
Crystal system: trigonal

Structure (extended XYZ):
```
12
Lattice="3.551 0.000 0.000 -1.775 3.075 0.000 0.000 0.000 27.819" Properties=species:S:1:pos:R:3 pbc="T T T"
Ag 0.000 0.000 0.000
Ag 0.000 2.050 18.546
Ag 1.775 1.025 9.273
Os 0.000 0.000 13.910
Os 0.000 2.050 4.637
Os 1.775 1.025 23.183
Cl 0.000 0.000 3.414
Cl 0.000 0.000 24.406
Cl 0.000 2.050 15.133
Cl 0.000 2.050 21.960
Cl 1.775 1.025 5.859
Cl 1.775 1.025 12.687
```